Entry 1:
# Dy5PuIn3 PBE-GGA optimized geometry
# Size of the total moment   13.4 Bohr magnetons per cell
# ΔE_f   -0.328 eV per atom
# Total DFT energy (no corrections)   -5.3899 eV/atom
data_Dy5PuIn3
_chemical_formula_sum 'Dy10 Pu2 In6'
_symmetry_space_group_name_H-M 'P 63/m c m'
_symmetry_Int_Tables_number 193
_symmetry_space_group_name_Hall '-P 6c 2'
_cell_length_a 9.3243
_cell_length_b 9.3243
_cell_length_c 6.6477
_cell_angle_alpha 90.00
_cell_angle_beta 90.00
_cell_angle_gamma 120.00
loop_
_atom_site_label
_atom_site_type_symbol
_atom_site_fract_x
_atom_site_fract_y
_atom_site_fract_z
Dy1 Dy 0.0000 0.3172 0.2500
Dy2 Dy 0.3333 0.6667 0.0000
Pu1 Pu 0.0000 0.0000 0.0000
In1 In 0.0000 0.3480 0.7500



Entry 2:
# DyPuIn3 PBE-GGA optimized geometry
# Size of the total moment   11.4 Bohr magnetons per cell
# ΔE_f   -0.016 eV per atom
# Total DFT energy (no corrections)   -5.4455 eV/atom
data_DyPuIn3
_chemical_formula_sum 'Dy2 Pu2 In6'
_symmetry_space_group_name_H-M 'P 63/m m c'
_symmetry_Int_Tables_number 194
_symmetry_space_group_name_Hall '-P 6c 2c'
_cell_length_a 7.5929
_cell_length_b 7.5929
_cell_length_c 5.7781
_cell_angle_alpha 90.00
_cell_angle_beta 90.00
_cell_angle_gamma 120.00
loop_
_atom_site_label
_atom_site_type_symbol
_atom_site_fract_x
_atom_site_fract_y
_atom_site_fract_z
Dy1 Dy 0.3333 0.6667 0.2500
Pu1 Pu 0.0000 0.0000 0.0000
In1 In 0.2046 0.4091 0.7500



Entry 3:
# Dy3PuIn4 PBE-GGA optimized geometry
# Size of the total moment   12.0 Bohr magnetons per cell
# ΔE_f   -0.365 eV per atom
# Total DFT energy (no corrections)   -5.2515 eV/atom
data_Dy3PuIn4
_chemical_formula_sum 'Dy6 Pu2 In8'
_symmetry_space_group_name_H-M 'P m m a'
_symmetry_Int_Tables_number 51
_symmetry_space_group_name_Hall '-P 2a 2a'
_cell_length_a 10.782
_cell_length_b 7.195
_cell_length_c 5.500
_cell_angle_alpha 90.00
_cell_angle_beta 90.00
_cell_angle_gamma 90.00
loop_
_atom_site_label
_atom_site_type_symbol
_atom_site_fract_x
_atom_site_fract_y
_atom_site_fract_z
Dy1 Dy 0.000 0.000 0.000
Dy2 Dy 0.250 0.000 0.420
Dy3 Dy 0.250 0.500 0.414
Pu1 Pu 0.000 0.500 0.000
In1 In 0.000 0.245 0.500
In2 In 0.250 0.245 0.911



Entry 4:
# Dy2PuIn PBE-GGA optimized geometry
# Size of the total moment   6.7 Bohr magnetons per cell
# Relative energy among the computed polymorphs   0.000 eV/atom
# ΔE_f   -0.146 eV per atom
# Total DFT energy (no corrections)   -6.7144 eV/atom
data_Dy2PuIn
_chemical_formula_sum 'Dy2 Pu1 In1'
_symmetry_space_group_name_H-M 'P 4/m m m'
_symmetry_Int_Tables_number 123
_symmetry_space_group_name_Hall '-P 4 2'
_cell_length_a 4.899
_cell_length_b 4.899
_cell_length_c 4.621
_cell_angle_alpha 90.00
_cell_angle_beta 90.00
_cell_angle_gamma 90.00
loop_
_atom_site_label
_atom_site_type_symbol
_atom_site_fract_x
_atom_site_fract_y
_atom_site_fract_z
Dy1 Dy 0.000 0.500 0.000
Pu1 Pu 0.000 0.000 0.500
In1 In 0.500 0.500 0.500